Material: LiMgPd
Method: DFT, PBE-GGA
State: relaxed

Summary:
ΔE to the lowest computed polymorph (kcal/mol of atoms): 0.003
Total magnetic moment (μB/cell): 0.000

a = 4.4611 Å, b = 4.4611 Å, c = 5.5741 Å
α = 90.00°, β = 90.00°, γ = 120.00°
Element x y z (fractional)
Pd (0.6667, 0.3333, 0.2126)
Pd (0.0000, 0.0000, 0.8733)
Mg (0.0000, 0.0000, 0.3753)
Mg (0.3333, 0.6667, 0.0414)
Li (0.3333, 0.6667, 0.5559)
Li (0.6667, 0.3333, 0.7228)